The following is a DFT calculation (PBE-GGA) of a relaxed structure of K2SrMo.

Unit cell a=5.135 b=5.216 c=6.531 alpha=90.00 beta=90.00 gamma=90.00
Sites, in units of the cell vectors:
K 0.000 0.000 0.000
K 0.500 0.500 0.000
Sr 0.000 0.500 0.500
Mo 0.500 0.000 0.500

Values from the calculation:
calculated volume: 175 Å³ per cell
relative energy among the computed polymorphs: 123 meV/atom

The following is a DFT calculation (PBE-GGA) of a relaxed structure of KTaMo.

Unit cell a=8.677 b=8.461 c=3.015 alpha=83.93 beta=75.86 gamma=20.21
Sites, in units of the cell vectors:
K 0.000 0.000 0.000
Ta 0.303 0.303 0.697
Mo 0.687 0.687 0.313

Values from the calculation:
calculated volume: 69 Å³ per cell
relative energy among the computed polymorphs: 0 meV/atom

The following is a DFT calculation (PBE-GGA) of a relaxed structure of KTaMo2.

Unit cell a=5.409 b=5.409 c=2.654 alpha=90.00 beta=90.00 gamma=90.00
Sites, in units of the cell vectors:
K 0.000 0.000 0.000
Ta 0.500 0.500 0.000
Mo 0.000 0.500 0.500
Mo 0.500 0.000 0.500

Values from the calculation:
calculated volume: 78 Å³ per cell
relative energy among the computed polymorphs: 827 meV/atom

The following is a DFT calculation (PBE-GGA) of a relaxed structure of K4TaMo.

Unit cell a=7.022 b=7.022 c=7.022 alpha=60.00 beta=60.00 gamma=60.00
Sites, in units of the cell vectors:
K 0.125 0.125 0.125
K 0.125 0.125 0.624
K 0.125 0.624 0.125
K 0.624 0.125 0.125
Ta 0.500 0.500 0.500
Mo 0.750 0.750 0.750

Values from the calculation:
calculated volume: 245 Å³ per cell
total energy: -15.71 eV/cell